[1]
# CrO2, single point on PBEsol structure, DFT SCAN
data_CrO2
_cell_length_a 4.393
_cell_length_b 4.393
_cell_length_c 2.889
_cell_angle_alpha 90.00
_cell_angle_beta 90.00
_cell_angle_gamma 90.00
_space_group_name_H-M_alt 'P 42/m n m'
_space_group_IT_number 136
_space_group_name_Hall '-P 4n 2n'
loop_
_atom_site_label
_atom_site_type_symbol
_atom_site_fract_x
_atom_site_fract_y
_atom_site_fract_z
Cr1 Cr 0.000 0.000 0.000
O1 O 0.197 0.197 0.500
# Size of the total moment = 2.00 μB/f.u.
# Total DFT energy (no corrections) = -12.56 eV per atom
# DOS(E_F) = 0.9 states/eV/cell

[2]
# YFeRh2, single point on PBEsol structure, DFT SCAN
data_YFeRh2
_cell_length_a 3.173
_cell_length_b 3.173
_cell_length_c 6.329
_cell_angle_alpha 90.00
_cell_angle_beta 90.00
_cell_angle_gamma 90.00
_space_group_name_H-M_alt 'P 4/m m m'
_space_group_IT_number 123
_space_group_name_Hall '-P 4 2'
loop_
_atom_site_label
_atom_site_type_symbol
_atom_site_fract_x
_atom_site_fract_y
_atom_site_fract_z
Y1 Y 0.000 0.000 0.000
Fe1 Fe 0.000 0.000 0.500
Rh1 Rh 0.500 0.500 0.287
# Size of the total moment = 4.38 μB/f.u.
# Total DFT energy (no corrections) = -28.85 eV per atom
# DOS(E_F) = 2.2 states/eV/cell
# E_form = -474 meV per atom

[3]
# GaSbIr2, single point on PBEsol structure, DFT SCAN
data_GaSbIr2
_cell_length_a 6.325
_cell_length_b 6.325
_cell_length_c 6.325
_cell_angle_alpha 90.00
_cell_angle_beta 90.00
_cell_angle_gamma 90.00
_space_group_name_H-M_alt 'F m -3 m'
_space_group_IT_number 225
_space_group_name_Hall '-F 4 2 3'
loop_
_atom_site_label
_atom_site_type_symbol
_atom_site_fract_x
_atom_site_fract_y
_atom_site_fract_z
Ga1 Ga 0.000 0.000 0.000
Sb1 Sb 0.000 0.000 0.500
Ir1 Ir 0.250 0.250 0.250
# Size of the total moment = 1.27 μB/f.u.
# Total DFT energy (no corrections) = -48.81 eV per atom
# DOS(E_F) = 7.5 states/eV/cell

[4]
# RbNbN2, single point on PBEsol structure, DFT SCAN
data_RbNbN2
_cell_length_a 5.863
_cell_length_b 5.863
_cell_length_c 5.863
_cell_angle_alpha 90.00
_cell_angle_beta 90.00
_cell_angle_gamma 90.00
_space_group_name_H-M_alt 'F m -3 m'
_space_group_IT_number 225
_space_group_name_Hall '-F 4 2 3'
loop_
_atom_site_label
_atom_site_type_symbol
_atom_site_fract_x
_atom_site_fract_y
_atom_site_fract_z
Rb1 Rb 0.000 0.000 0.000
Nb1 Nb 0.000 0.000 0.500
N1 N 0.250 0.250 0.250
# Size of the total moment = 0.00 μB/f.u.
# Total DFT energy (no corrections) = -16.77 eV per atom
# DOS(E_F) = 11.1 states/eV/cell

[5]
# Sr5Hg3, single point on PBEsol structure, DFT SCAN
data_Sr5Hg3
_cell_length_a 9.6700
_cell_length_b 9.6700
_cell_length_c 7.0502
_cell_angle_alpha 90.00
_cell_angle_beta 90.00
_cell_angle_gamma 120.00
_space_group_name_H-M_alt 'P 63/m c m'
_space_group_IT_number 193
_space_group_name_Hall '-P 6c 2'
loop_
_atom_site_label
_atom_site_type_symbol
_atom_site_fract_x
_atom_site_fract_y
_atom_site_fract_z
Sr1 Sr 0.0000 0.2589 0.2500
Sr2 Sr 0.3333 0.6667 0.0000
Hg1 Hg 0.0000 0.3945 0.7500
# Size of the total moment = 0.00 μB/f.u.
# Total DFT energy (no corrections) = -40.00 eV per atom
# Relative energy among the computed polymorphs = 0.000 eV/f.u.
# DOS(E_F) = 16.2 states/eV/cell
# E_form = -521 meV per atom

[6]
# RuPt2, single point on PBEsol structure, DFT SCAN
data_RuPt2
_cell_length_a 5.912
_cell_length_b 5.912
_cell_length_c 5.912
_cell_angle_alpha 90.00
_cell_angle_beta 90.00
_cell_angle_gamma 90.00
_space_group_name_H-M_alt 'F m -3 m'
_space_group_IT_number 225
_space_group_name_Hall '-F 4 2 3'
loop_
_atom_site_label
_atom_site_type_symbol
_atom_site_fract_x
_atom_site_fract_y
_atom_site_fract_z
Ru1 Ru 0.000 0.000 0.000
Pt1 Pt 0.250 0.250 0.250
# Size of the total moment = 3.17 μB/f.u.
# Total DFT energy (no corrections) = -57.89 eV per atom
# DOS(E_F) = 14.0 states/eV/cell
# E_form = 515 meV per atom